{
  "formula": "Be2Ni2PtO6",
  "functional": "GGA+U",
  "state": "relaxed",
  "total_energy_ev_per_cell": -62.57,
  "dos_at_fermi_per_ev_cell": 0.00,
  "lattice": [[4.897, 0.000, 0.000], [-2.448, 4.241, 0.000], [0.000, 0.000, 4.886]],
  "species": ["Be", "Be", "Ni", "Ni", "Pt", "O", "O", "O", "O", "O", "O"],
  "fractional_positions": [[0.333, 0.667, 0.426], [0.667, 0.333, 0.574], [0.333, 0.667, 0.955], [0.667, 0.333, 0.045], [0.000, 0.000, 0.500], [0.024, 0.658, 0.279], [0.342, 0.367, 0.279], [0.367, 0.024, 0.721], [0.633, 0.976, 0.279], [0.658, 0.633, 0.721], [0.976, 0.342, 0.721]]
}